Record 1
Computed, not measured: LaPmSb2 after structural relaxation at the PBE-GGA level of DFT.

Cell and atoms, written as POSCAR:
```
LaPmSb2
1.0
5.537 0.000 0.000
0.000 5.537 0.000
0.000 0.000 3.938
La Pm Sb
1 1 2
Cartesian
0.000 0.000 0.000
2.769 2.769 0.000
0.000 2.769 1.969
2.769 0.000 1.969
```

Calculated values
energy above the most stable polymorph in this dataset = 295 meV per atom
volume = 120.74 Å³ per cell
formation energy (no corrections) = -0.937 eV per atom

Record 2
Computed, not measured: LaPmSb after structural relaxation at the PBE-GGA level of DFT.

Cell and atoms, written as POSCAR:
```
LaPmSb
1.0
-2.275 2.275 8.987
2.275 -2.275 8.987
2.275 2.275 -8.987
La Pm Sb
2 2 2
Cartesian
2.275 0.000 0.000
0.000 2.275 0.000
0.000 0.000 3.237
0.000 0.000 14.737
0.000 0.000 6.450
0.000 0.000 11.524
```

Calculated values
energy above the most stable polymorph in this dataset = 0 meV per atom
volume = 186.13 Å³ per cell
formation energy (no corrections) = -0.876 eV per atom

Record 3
Computed, not measured: LaPmSb2 after structural relaxation at the PBE-GGA level of DFT.

Cell and atoms, written as POSCAR:
```
LaPmSb2
1.0
2.250 1.299 7.781
-2.250 1.299 7.781
0.000 -2.598 7.781
La Pm Sb
1 1 2
Cartesian
0.000 0.000 0.000
0.000 0.000 19.352
0.000 0.000 5.709
0.000 0.000 9.746
```

Calculated values
energy above the most stable polymorph in this dataset = 110 meV per atom
volume = 136.48 Å³ per cell
formation energy (no corrections) = -1.121 eV per atom

Record 4
Computed, not measured: LaPmSb after structural relaxation at the PBE-GGA level of DFT.

Cell and atoms, written as POSCAR:
```
LaPmSb
1.0
-2.108 2.108 5.121
2.108 -2.108 5.121
2.108 2.108 -5.121
La Pm Sb
1 1 1
Cartesian
0.000 0.000 0.000
0.000 0.000 3.080
0.000 0.000 6.737
```

Calculated values
energy above the most stable polymorph in this dataset = 163 meV per atom
volume = 90.99 Å³ per cell
formation energy (no corrections) = -0.713 eV per atom

Record 5
Computed, not measured: LaPm4Sb5 after structural relaxation at the PBE-GGA level of DFT.

Cell and atoms, written as POSCAR:
```
LaPm4Sb5
1.0
-2.262 3.195 11.295
2.262 -3.195 11.295
2.262 3.195 -11.295
La Pm Sb
1 4 5
Cartesian
0.000 0.000 0.000
0.000 0.000 4.548
0.000 0.000 9.025
0.000 0.000 13.564
0.000 0.000 18.042
2.262 0.000 2.314
2.262 0.000 6.784
0.000 3.195 0.000
0.000 3.195 4.510
0.000 3.195 8.981
```

Calculated values
volume = 326.47 Å³ per cell
formation energy (no corrections) = -1.203 eV per atom

Record 6
Computed, not measured: La4PmSb5 after structural relaxation at the PBE-GGA level of DFT.

Cell and atoms, written as POSCAR:
```
La4PmSb5
1.0
-5.143 5.143 3.254
5.143 -5.143 3.254
5.143 5.143 -3.254
La Pm Sb
4 1 5
Cartesian
7.202 1.017 0.000
1.017 3.085 0.000
4.126 2.059 3.254
-2.059 4.126 3.254
0.000 0.000 3.254
0.000 0.000 0.000
4.124 2.092 0.000
3.051 -1.019 3.254
2.092 6.163 0.000
1.019 3.051 3.254
```

Calculated values
volume = 344.31 Å³ per cell
formation energy (no corrections) = -1.258 eV per atom

Record 7
Computed, not measured: LaPmSm2Sb4 after structural relaxation at the PBE-GGA level of DFT.

Cell and atoms, written as POSCAR:
```
LaPmSm2Sb4
1.0
7.820 0.000 0.000
0.000 4.520 0.000
-2.607 0.000 7.375
La Pm Sm Sb
1 1 2 4
Cartesian
0.000 0.000 0.000
-1.304 2.260 3.687
2.606 0.000 3.687
3.910 2.260 0.000
0.032 0.000 5.519
1.334 2.260 1.879
3.879 2.260 5.496
5.181 0.000 1.855
```

Calculated values
volume = 260.66 Å³ per cell
formation energy (no corrections) = -1.202 eV per atom

Record 8
Computed, not measured: La2PmSmSb4 after structural relaxation at the PBE-GGA level of DFT.

Cell and atoms, written as POSCAR:
```
La2PmSmSb4
1.0
7.886 0.000 0.000
0.000 4.557 0.000
-2.630 0.000 7.437
La Pm Sm Sb
2 1 1 4
Cartesian
0.000 0.000 0.000
-1.315 2.279 3.718
2.628 0.000 3.718
3.943 2.279 0.000
0.049 0.000 5.600
1.364 2.279 1.871
5.207 0.000 1.837
3.893 2.279 5.566
```

Calculated values
volume = 267.28 Å³ per cell
formation energy (no corrections) = -1.229 eV per atom

Record 9
Computed, not measured: La3TbPm2Sb6 after structural relaxation at the PBE-GGA level of DFT.

Cell and atoms, written as POSCAR:
```
La3TbPm2Sb6
1.0
3.938 -6.819 0.000
3.938 6.819 0.000
-2.624 0.000 7.417
La Tb Pm Sb
3 1 2 6
Cartesian
0.000 0.000 0.000
3.938 2.288 0.000
3.938 -2.288 0.000
2.626 0.000 3.709
2.626 4.552 3.709
2.626 -4.552 3.709
1.326 2.252 1.920
0.028 0.000 5.508
1.326 -2.252 1.920
3.926 2.252 5.498
5.225 0.000 1.910
3.926 -2.252 5.498
```

Calculated values
volume = 398.38 Å³ per cell
formation energy (no corrections) = -1.223 eV per atom

Record 10
Computed, not measured: LaTb2PmSb4 after structural relaxation at the PBE-GGA level of DFT.

Cell and atoms, written as POSCAR:
```
LaTb2PmSb4
1.0
7.755 0.000 0.000
0.000 4.487 0.000
-2.592 0.000 7.321
La Tb Pm Sb
1 2 1 4
Cartesian
0.000 0.000 0.000
2.582 0.000 3.660
3.878 2.244 0.000
-1.296 2.244 3.660
0.057 0.000 5.490
1.353 2.244 1.876
3.811 2.244 5.445
5.106 0.000 1.831
```

Calculated values
volume = 254.78 Å³ per cell
formation energy (no corrections) = -1.186 eV per atom

| no. | DOS at the Fermi energy (states/eV/atom) |
| --- | --- |
| 1 | 0.807 |
| 2 | 1.164 |
| 3 | 0.091 |
| 4 | 1.061 |
| 5 | 0.193 |
| 6 | 0.065 |
| 7 | 0.120 |
| 8 | 0.119 |
| 9 | 0.168 |
| 10 | 0.126 |